Cu2TeCl: optimized geometry, PBE-GGA.

Lattice parameters (Å, degrees): 3.5391 3.5391 7.3030 90.00 90.00 103.95
Last column: nearest neighbours and their distance in Å.
Fractional coordinates of all 4 atoms:
1 Te 0.0000 0.0000 0.3893  3 Cu 2.57-2.60
2 Cl 0.5000 0.5000 0.8737  3 Cu 2.41-2.47
3 Cu 0.0000 0.0000 0.0337  2 Cl 2.47, 2 Cu 2.51, 1 Te 2.60
4 Cu 0.5000 0.5000 0.2033  1 Cl 2.41, 2 Cu 2.51, 2 Te 2.57

Computed properties:
final energy	-13.7	eV/f.u.
calculated density	5.43	Mg/m³
N(E_F)	0.87	states/eV/f.u.
formation energy without anion corrections	-0.13	eV per atom
energy above the lowest structure with this stoichiometry	9.7	kJ/mol of atoms
calculated volume	88.77	Å³/cell
SG	Cmm2

---

YHf2Co2: optimized geometry, PBE-GGA.

Lattice parameters (Å, degrees): 4.3567 4.3567 5.9535 68.54 68.54 90.00
Last column: nearest neighbours and their distance in Å.
Fractional coordinates of all 5 atoms:
1 Hf 0.2500 0.7500 0.5000  4 Co 2.60
2 Hf 0.7500 0.2500 0.5000  4 Co 2.60
3 Y 0.0000 0.0000 0.0000  8 Co 3.28, 8 Hf 3.35
4 Co 0.3892 0.3892 0.2217  1 Co 2.26
5 Co 0.6108 0.6108 0.7783  1 Co 2.26

Computed properties:
final energy	-41.9	eV/f.u.
calculated density	9.68	Mg/m³
N(E_F)	3.47	states/eV/f.u.
energy above the lowest structure with this stoichiometry	0.0	kJ/mol of atoms
calculated volume	96.70	Å³/cell
formation energy from the elements	-25.7	kJ/mol of atoms
SG	I4/mmm

---

ZnNiAg2: optimized geometry, PBE-GGA.

Lattice parameters (Å, degrees): 5.0940 5.0940 4.6473 69.52 69.52 32.76
Last column: nearest neighbours and their distance in Å.
Fractional coordinates of all 4 atoms:
1 Ag 0.0127 0.0127 0.9629  4 Ni 2.73-2.77, 3 Zn 2.76-2.83, 4 Ag 2.87-2.96
2 Ag 0.2341 0.2341 0.2922  3 Ni 2.71-2.86, 4 Zn 2.75, 4 Ag 2.87-2.96
3 Zn 0.7712 0.7712 0.7635  2 Ni 2.46, 6 Ag 2.75-2.76
4 Ni 0.4821 0.4821 0.4814  2 Zn 2.46, 4 Ag 2.71-2.73

Computed properties:
final energy	-12.5	eV/f.u.
calculated density	9.29	Mg/m³
N(E_F)	1.48	states/eV/f.u.
calculated volume	60.76	Å³/cell
formation energy from the elements	5.5	kJ/mol of atoms
SG	Cm

---

LaPr4Dy4: optimized geometry, PBE-GGA.

Lattice parameters (Å, degrees): 7.2205 7.2205 12.4559 90.00 90.00 90.00
Last column: nearest neighbours and their distance in Å.
Fractional coordinates of all 18 atoms:
1 Dy 0.0000 0.2816 0.4416  3 Dy 3.15-3.22, 3 Pr 3.47-3.53
2 Dy 0.2184 0.5000 0.9416  3 Dy 3.15-3.22, 3 Pr 3.47-3.53
3 Dy 0.5000 0.2184 0.0584  3 Dy 3.15-3.22, 3 Pr 3.47-3.53
4 Dy 0.5000 0.7816 0.0584  3 Dy 3.15-3.22, 3 Pr 3.47-3.53
5 Dy 0.7816 0.5000 0.9416  3 Dy 3.15-3.22, 3 Pr 3.47-3.53
6 Dy 0.7184 0.0000 0.5584  3 Dy 3.15-3.22, 3 Pr 3.47-3.53
7 Dy 0.0000 0.7184 0.4416  3 Dy 3.15-3.22, 3 Pr 3.47-3.53
8 Dy 0.2816 0.0000 0.5584  3 Dy 3.15-3.22, 3 Pr 3.47-3.53
9 Pr 0.7376 0.0000 0.2750  4 Pr 3.43-3.79, 5 Dy 3.47-3.57
10 Pr 0.7624 0.5000 0.2250  4 Pr 3.43-3.79, 5 Dy 3.47-3.57
11 Pr 0.5000 0.7624 0.7750  4 Pr 3.43-3.79, 5 Dy 3.47-3.57
12 Pr 0.0000 0.7376 0.7250  4 Pr 3.43-3.79, 5 Dy 3.47-3.57
13 Pr 0.5000 0.2376 0.7750  4 Pr 3.43-3.79, 5 Dy 3.47-3.57
14 Pr 0.2624 0.0000 0.2750  4 Pr 3.43-3.79, 5 Dy 3.47-3.57
15 Pr 0.2376 0.5000 0.2250  4 Pr 3.43-3.79, 5 Dy 3.47-3.57
16 Pr 0.0000 0.2624 0.7250  4 Pr 3.43-3.79, 5 Dy 3.47-3.57
17 La 0.5000 0.5000 0.5000  4 Pr 3.91, 8 Dy 4.01
18 La 0.0000 0.0000 0.0000  4 Pr 3.91, 8 Dy 4.01

Computed properties:
final energy	-40.0	eV/f.u.
calculated density	6.92	Mg/m³
N(E_F)	15.24	states/eV/f.u.
energy above the lowest structure with this stoichiometry	23.7	kJ/mol of atoms
calculated volume	649.40	Å³/cell
formation energy from the elements	25.8	kJ/mol of atoms
SG	P4_2/nmc

---

Ni5Rh: optimized geometry, PBE-GGA.

Lattice parameters (Å, degrees): 2.5116 2.5116 12.6553 90.00 90.00 117.47
Last column: nearest neighbours and their distance in Å.
Fractional coordinates of all 6 atoms:
1 Ni 0.0000 0.0000 0.6758  8 Ni 2.43-2.61, 2 Rh 2.58
2 Ni 0.5000 0.5000 0.8380  10 Ni 2.43-2.61
3 Ni 0.0000 0.0000 0.3242  8 Ni 2.43-2.61, 2 Rh 2.58
4 Ni 0.0000 0.0000 0.0000  10 Ni 2.43-2.61
5 Ni 0.5000 0.5000 0.1620  10 Ni 2.43-2.61
6 Rh 0.5000 0.5000 0.5000  6 Rh 2.51-2.61, 4 Ni 2.58

Computed properties:
final energy	-35.3	eV/f.u.
calculated density	9.29	Mg/m³
N(E_F)	10.16	states/eV/f.u.
calculated volume	70.83	Å³/cell
formation energy from the elements	15.3	kJ/mol of atoms
SG	Cmmm

---

NaCo3Br: optimized geometry, PBE-GGA.

Lattice parameters (Å, degrees): 4.4250 4.4250 4.4250 90.00 90.00 90.00
Last column: nearest neighbours and their distance in Å.
Fractional coordinates of all 5 atoms:
1 Co 0.0000 0.0000 0.5000  2 Br 2.21
2 Co 0.0000 0.5000 0.0000  2 Br 2.21
3 Co 0.5000 0.0000 0.0000  2 Br 2.21
4 Na 0.5000 0.5000 0.5000  12 Co 3.13
5 Br 0.0000 0.0000 0.0000  6 Co 2.21

Computed properties:
final energy	-19.2	eV/f.u.
calculated density	5.36	Mg/m³
N(E_F)	4.51	states/eV/f.u.
formation energy without anion corrections	1.03	eV per atom
energy above the lowest structure with this stoichiometry	0.0	kJ/mol of atoms
calculated volume	86.65	Å³/cell
SG	Pm-3m

---

ZrPRu2: optimized geometry, PBE-GGA.

Lattice parameters (Å, degrees): 2.9783 2.9783 6.7883 90.00 90.00 90.00
Last column: nearest neighbours and their distance in Å.
Fractional coordinates of all 4 atoms:
1 Ru 0.0000 0.0000 0.7028  4 P 2.52, 1 Ru 2.75
2 Ru 0.0000 0.0000 0.2972  4 P 2.52, 1 Ru 2.75
3 P 0.5000 0.5000 0.5000  8 Ru 2.52
4 Zr 0.5000 0.5000 0.0000  8 Ru 2.92, 4 Zr 2.98

Computed properties:
final energy	-34.1	eV/f.u.
calculated density	8.94	Mg/m³
N(E_F)	4.02	states/eV/f.u.
calculated volume	60.21	Å³/cell
formation energy from the elements	-38.5	kJ/mol of atoms
SG	P4/mmm

---

RbSn4Bi2: optimized geometry, PBE-GGA.

Lattice parameters (Å, degrees): 4.2967 8.2228 10.4684 135.47 90.16 74.82
Last column: nearest neighbours and their distance in Å.
Fractional coordinates of all 7 atoms:
1 Sn 0.1843 0.6307 0.4985  4 Sn 3.00-3.22, 1 Bi 3.02
2 Sn 0.8157 0.3693 0.5015  4 Sn 3.00-3.22, 1 Bi 3.02
3 Sn 0.4667 0.0626 0.6816  3 Sn 3.14-3.22, 3 Bi 3.15-3.36
4 Sn 0.5333 0.9374 0.3184  3 Sn 3.14-3.22, 3 Bi 3.15-3.36
5 Bi 0.7638 0.4720 0.8429  4 Sn 3.02-3.36
6 Bi 0.2362 0.5280 0.1571  4 Sn 3.02-3.36
7 Rb 0.0000 0.0000 0.0000  2 Sn 3.67, 4 Bi 3.83-3.84

Computed properties:
final energy	-25.0	eV/f.u.
calculated density	6.74	Mg/m³
N(E_F)	3.61	states/eV/f.u.
energy above the lowest structure with this stoichiometry	2.5	kJ/mol of atoms
calculated volume	240.92	Å³/cell
formation energy from the elements	-4.0	kJ/mol of atoms
SG	P-1